Ni5Te4: optimized geometry, PBE-GGA.

Calculated values
- total energy (eV per atom) = -4.378
- E above lowest polymorph (kJ per mole of atoms) = 22.6
- energy relative to the elements, uncorrected (eV per atom) = 0.2305
- space-group type = P6_3/mcm, No. 193

Structure (POSCAR):
```
Ni5Te4
1.0
7.9067 0.0000 0.0000
-3.9533 6.8474 0.0000
0.0000 0.0000 5.7379
Ni Te
10 8
Direct
0.0000 0.3070 0.2500
0.0000 0.6930 0.7500
0.3070 0.0000 0.2500
0.3070 0.3070 0.7500
0.3333 0.6667 0.0000
0.3333 0.6667 0.5000
0.6667 0.3333 0.0000
0.6667 0.3333 0.5000
0.6930 0.0000 0.7500
0.6930 0.6930 0.2500
0.0000 0.0000 0.0000
0.0000 0.0000 0.5000
0.0000 0.3827 0.7500
0.0000 0.6173 0.2500
0.3827 0.0000 0.7500
0.3827 0.3827 0.2500
0.6173 0.0000 0.2500
0.6173 0.6173 0.7500
```

***

K2ZnSnCl6: optimized geometry, PBE-GGA.

Calculated values
- total energy (eV per atom) = -3.307
- energy relative to the elements, uncorrected (eV per atom) = -1.4518
- space-group type = P1, No. 1

Structure (POSCAR):
```
K2ZnSnCl6
1.0
6.8797 0.0000 0.0000
-1.6730 7.6738 0.0000
-3.2685 -3.3334 6.3716
K Zn Sn Cl
2 1 1 6
Direct
0.0000 0.0000 0.0000
0.1557 0.6457 0.4384
0.5240 0.6624 0.2126
0.6039 0.2911 0.6648
0.1652 0.4141 0.0278
0.1845 0.2617 0.4847
0.4538 0.9464 0.2794
0.5209 0.0657 0.8212
0.7245 0.6444 0.0414
0.7458 0.6643 0.5255
```

***

AcDySi: optimized geometry, PBE-GGA.

Calculated values
- total energy (eV per atom) = -5.029
- E above lowest polymorph (kJ per mole of atoms) = 15.3
- energy relative to the elements, uncorrected (eV per atom) = -0.3175
- space-group type = F-43m, No. 216

Structure (POSCAR):
```
AcDySi
1.0
0.0000 3.6110 3.6110
3.6110 0.0000 3.6110
3.6110 3.6110 0.0000
Ac Dy Si
1 1 1
Direct
0.0000 0.0000 0.0000
0.5000 0.5000 0.5000
0.7500 0.7500 0.7500
```

***

B2Te2O: optimized geometry, PBE-GGA.

Calculated values
- total energy (eV per atom) = -4.088
- E above lowest polymorph (kJ per mole of atoms) = 40.2
- energy relative to the elements, uncorrected (eV per atom) = 0.8315
- space-group type = I4/mmm, No. 139

Structure (POSCAR):
```
B2Te2O
1.0
-1.7122 1.7122 6.3786
1.7122 -1.7122 6.3786
1.7122 1.7122 -6.3786
B Te O
2 2 1
Direct
0.2500 0.7500 0.5000
0.7500 0.2500 0.5000
0.1219 0.1219 0.0000
0.8781 0.8781 0.0000
0.5000 0.5000 0.0000
```

***

KNi2MoPd: optimized geometry, PBE-GGA.

Calculated values
- total energy (eV per atom) = -3.323
- E_form (eV/atom) = 2.414
- space-group type = P4/mmm, No. 123

Structure (POSCAR):
```
KNi2MoPd
1.0
4.3549 0.0000 0.0000
0.0000 4.3549 0.0000
0.0000 0.0000 4.8579
K Ni Mo Pd
1 2 1 1
Direct
0.0000 0.0000 0.0000
0.0000 0.5000 0.0000
0.5000 0.0000 0.0000
0.0000 0.0000 0.5000
0.5000 0.5000 0.5000
```

***

NpZn3Ga2: optimized geometry, PBE-GGA.

Calculated values
- total energy (eV per atom) = -3.847
- E_form (eV/atom) = -0.044
- E above lowest polymorph (kJ per mole of atoms) = 1.2
- space-group type = Immm, No. 71

Structure (POSCAR):
```
NpZn3Ga2
1.0
-2.2047 3.7481 6.6884
2.2047 -3.7481 6.6884
2.2047 3.7481 -6.6884
Np Zn Ga
2 6 4
Direct
0.1307 0.1307 0.0000
0.8693 0.8693 0.0000
0.1223 0.3250 0.7973
0.3382 0.0000 0.3382
0.4723 0.6750 0.7973
0.5277 0.3250 0.2027
0.6618 0.0000 0.6618
0.8777 0.6750 0.2027
0.1665 0.5000 0.6665
0.3107 0.8107 0.5000
0.6893 0.1893 0.5000
0.8335 0.5000 0.3335
```

***

YCu3Ag: optimized geometry, PBE-GGA.

Calculated values
- total energy (eV per atom) = -3.864
- E_form (eV/atom) = 0.456
- E above lowest polymorph (kJ per mole of atoms) = 0.0
- space-group type = Pm-3m, No. 221

Structure (POSCAR):
```
YCu3Ag
1.0
4.7154 0.0000 0.0000
0.0000 4.7154 0.0000
0.0000 0.0000 4.7154
Y Cu Ag
1 3 1
Direct
0.0000 0.0000 0.0000
0.0000 0.5000 0.5000
0.5000 0.0000 0.5000
0.5000 0.5000 0.0000
0.5000 0.5000 0.5000
```

***

TmSc2CuC: optimized geometry, PBE-GGA.

Calculated values
- total energy (eV per atom) = -6.350
- E_form (eV/atom) = -0.259
- space-group type = P4/mmm, No. 123

Structure (POSCAR):
```
TmSc2CuC
1.0
4.4216 0.0000 0.0000
0.0000 4.4216 0.0000
0.0000 0.0000 4.8963
Tm Sc Cu C
1 2 1 1
Direct
0.0000 0.0000 0.0000
0.0000 0.5000 0.5000
0.5000 0.0000 0.5000
0.5000 0.5000 0.0000
0.0000 0.0000 0.5000
```